# Tl4HgI2Cl PBE optimized geometry
data_Tl4HgI2Cl
_symmetry_space_group_name_H-M 'P 1'
_symmetry_Int_Tables_number 1
_symmetry_space_group_name_Hall 'P 1'
_cell_length_a 4.5425
_cell_length_b 8.1346
_cell_length_c 8.6867
_cell_angle_alpha 73.01
_cell_angle_beta 90.00
_cell_angle_gamma 90.00
loop_
_atom_site_label
_atom_site_type_symbol
_atom_site_fract_x
_atom_site_fract_y
_atom_site_fract_z
Tl1 Tl 0.0000 0.7215 0.7522
Tl2 Tl 0.0000 0.2785 0.2478
Tl3 Tl 0.5000 0.7241 0.2682
Tl4 Tl 0.5000 0.2759 0.7317
Hg1 Hg 0.5000 0.5000 0.0000
I1 I 0.0000 0.0000 0.0000
I2 I 0.5000 0.0000 0.5000
Cl1 Cl 0.0000 0.5000 0.5000
# Space-group type: P2/m (10)
# Electronic total energy: -2.3330 eV/atom
# Calculated density: 7.07 g/cm3